Er3CoO6 | PBE with a Hubbard U | optimized geometry

```
Er3CoO6
1.0
-3.1632 -4.1981 1.2573
0.0067 -2.0280 -6.7544
5.5704 -3.3946 2.6799
O Er Co
12 6 2
direct
0.6639 0.2143 0.7857 O
0.6552 0.9610 0.0390 O
0.7012 0.3226 0.3569 O
0.1925 0.1070 0.5764 O
0.1639 0.7857 0.2143 O
0.2012 0.3569 0.3226 O
0.2012 0.6774 0.6431 O
0.6925 0.8930 0.4236 O
0.1925 0.4236 0.8930 O
0.1552 0.0390 0.9610 O
0.7012 0.6431 0.6774 O
0.6925 0.5764 0.1070 O
0.9273 0.6016 0.3984 Er
0.4273 0.3984 0.6016 Er
0.9739 0.0883 0.2957 Er
0.9739 0.7043 0.9117 Er
0.4739 0.2957 0.0883 Er
0.4739 0.9117 0.7043 Er
0.0037 0.1979 0.8021 Co
0.5037 0.8021 0.1979 Co
```

Results
As for the calculated total energy: -7.808 eV/atom.